Entry from OQMD: a relaxed Pr2Ge crystal (PBE).

POSCAR file:
```
Pr2Ge
1.0
0.076 5.466 7.376
-7.894 3.214 3.413
-3.125 -3.113 8.052
Ge Pr
2 4
Cartesian
0.000 0.000 0.000
-2.736 1.392 4.710
-1.368 0.696 2.355
-1.330 3.429 6.043
-5.315 2.303 4.062
-2.930 -0.861 6.381
```

Properties
uncorrected energy	-3.77	eV per atom
space group	Fd-3m (227)

=====

Entry from OQMD: a relaxed PrGe crystal (PBE).

POSCAR file:
```
PrGe
1.0
-1.286 1.738 5.664
3.264 -2.056 1.372
4.751 6.855 -1.032
Ge Pr
4 4
Cartesian
0.693 0.738 5.568
1.724 3.796 1.587
3.376 3.770 3.728
4.407 6.827 -0.253
1.990 0.875 2.685
0.374 3.711 4.672
4.719 3.842 0.640
3.109 6.699 2.642
```

Properties
uncorrected energy	-5.54	eV per atom
space group	Pm (6)

=====

Entry from OQMD: a relaxed PrGe2 crystal (PBE).

POSCAR file:
```
PrGe2
1.0
0.000 4.074 4.074
4.074 0.000 4.074
4.074 4.074 0.000
Ge Pr
4 2
Cartesian
3.056 3.056 5.093
3.056 5.093 3.056
5.093 3.056 3.056
5.093 5.093 5.093
0.000 0.000 0.000
2.037 2.037 2.037
```

Properties
uncorrected energy	-5.06	eV per atom
space group	Fd-3m (227)